(1)
## AcSiHg (GGA-PBE)

Data for a relaxed structure of AcSiHg.

Cell lengths 5.5436, 5.5436, 5.5436 Å; angles 133.63, 133.63, 67.67 degrees
Sites, in units of the cell vectors:
Ac (0.0000, 0.0000, 0.0000)
Si (0.3585, 0.3585, 0.0000)
Hg (0.6624, 0.6624, 0.0000)

Computed properties:
- ΔE to the lowest computed polymorph (meV/atom) = 424
- formation energy from raw total energies (meV per atom) = -101
- space-group type = I4mm

---

(2)
## NaSm3Te4 (GGA-PBE)

Data for a relaxed structure of NaSm3Te4.

Cell lengths 6.3030, 6.3030, 6.3030 Å; angles 90.00, 90.00, 90.00 degrees
Sites, in units of the cell vectors:
Na (0.0000, 0.0000, 0.0000)
Sm (0.0000, 0.5000, 0.5000)
Sm (0.5000, 0.0000, 0.5000)
Sm (0.5000, 0.5000, 0.0000)
Te (0.0000, 0.0000, 0.5000)
Te (0.0000, 0.5000, 0.0000)
Te (0.5000, 0.0000, 0.0000)
Te (0.5000, 0.5000, 0.5000)

Computed properties:
- formation energy from raw total energies (meV per atom) = -1365
- space-group type = Pm-3m

---

(3)
## CaSiAgBr2 (GGA-PBE)

Data for a relaxed structure of CaSiAgBr2.

Cell lengths 5.4093, 5.4093, 6.5380 Å; angles 90.00, 90.00, 90.00 degrees
Sites, in units of the cell vectors:
Ca (0.0000, 0.0000, 0.0000)
Si (0.0000, 0.0000, 0.5000)
Ag (0.5000, 0.5000, 0.5000)
Br (0.0000, 0.5000, 0.0000)
Br (0.5000, 0.0000, 0.0000)

Computed properties:
- formation energy from raw total energies (meV per atom) = 23
- space-group type = P4/mmm